[1]
# RbDyAgTe2

Crystalline RbDyAgTe2 at its relaxed geometry (GGA-PBE, Alexandria via LeMat-Bulk).

Cell and atoms, written as CIF:
```
data_RbDyAgTe2
_chemical_formula_sum 'Rb2 Dy2 Ag2 Te4'
_symmetry_space_group_name_H-M 'P 1 2/c 1'
_symmetry_Int_Tables_number 13
_cell_length_a 8.5161
_cell_length_b 4.7869
_cell_length_c 8.7670
_cell_angle_alpha 90.00
_cell_angle_beta 90.69
_cell_angle_gamma 90.00
loop_
_symmetry_equiv_pos_as_xyz
'x,y,z'
'-x,-y,-z'
'-x,y,-z+1/2'
'x,-y,z+1/2'
loop_
_atom_site_label
_atom_site_fract_x
_atom_site_fract_y
_atom_site_fract_z
Rb1 0.0000 0.0117 0.2500
Dy1 0.5000 0.5004 0.2500
Ag1 0.5000 0.0000 0.0000
Te1 0.2563 0.4284 0.9972
```

Properties
energy relative to the elements, uncorrected = -0.814 eV/atom
N(E_F) = 0.333 states/eV/atom



[2]
# Mg2ZnW

Crystalline Mg2ZnW at its relaxed geometry (GGA-PBE, Alexandria via LeMat-Bulk).

Cell and atoms, written as CIF:
```
data_Mg2ZnW
_chemical_formula_sum 'Mg4 Zn2 W2'
_symmetry_space_group_name_H-M 'C m m m'
_symmetry_Int_Tables_number 65
_symmetry_space_group_name_Hall '-C 2 2'
_cell_length_a 3.5808
_cell_length_b 4.2665
_cell_length_c 9.0204
_cell_angle_alpha 90.00
_cell_angle_beta 90.00
_cell_angle_gamma 90.00
loop_
_atom_site_label
_atom_site_fract_x
_atom_site_fract_y
_atom_site_fract_z
Mg1 0.0000 0.0000 0.2498
Zn1 0.0000 0.5000 0.0000
W1 0.0000 0.5000 0.5000
```

Properties
N(E_F) = 0.263 states/eV/atom
energy of formation from the pure elements = 0.2022 eV/atom



[3]
# KGaGe

Crystalline KGaGe at its relaxed geometry (GGA-PBE, Alexandria via LeMat-Bulk).

Cell and atoms, written as CIF:
```
data_KGaGe
_chemical_formula_sum 'K4 Ga4 Ge4'
_symmetry_space_group_name_H-M 'C 1 c 1'
_symmetry_Int_Tables_number 9
_cell_length_a 8.0197
_cell_length_b 11.3304
_cell_length_c 4.3256
_cell_angle_alpha 90.00
_cell_angle_beta 112.26
_cell_angle_gamma 90.00
loop_
_symmetry_equiv_pos_as_xyz
'x,y,z'
'x,-y,z+1/2'
'x+1/2,y+1/2,z'
'x+1/2,-y+1/2,z+1/2'
loop_
_atom_site_label
_atom_site_fract_x
_atom_site_fract_y
_atom_site_fract_z
K1 0.0000 0.1773 0.0000
Ga1 0.1459 0.4411 0.7396
Ge1 0.3411 0.0692 0.7492
```

Properties
N(E_F) = 0.000 states/eV/atom
energy of formation from the pure elements = -0.0956 eV/atom



[4]
# RbHgPCl2

Crystalline RbHgPCl2 at its relaxed geometry (GGA-PBE, Alexandria via LeMat-Bulk).

Cell and atoms, written as CIF:
```
data_RbHgPCl2
_chemical_formula_sum 'Rb1 Hg1 P1 Cl2'
_symmetry_space_group_name_H-M 'P 4/m m m'
_symmetry_Int_Tables_number 123
_symmetry_space_group_name_Hall '-P 4 2'
_cell_length_a 6.2399
_cell_length_b 6.2399
_cell_length_c 7.5068
_cell_angle_alpha 90.00
_cell_angle_beta 90.00
_cell_angle_gamma 90.00
loop_
_atom_site_label
_atom_site_fract_x
_atom_site_fract_y
_atom_site_fract_z
Rb1 0.0000 0.0000 0.0000
Hg1 0.5000 0.5000 0.5000
P1 0.0000 0.0000 0.5000
Cl1 0.0000 0.5000 0.0000
```

Properties
relative energy among the computed polymorphs = 661 meV/atom
energy relative to the elements, uncorrected = 0.227 eV/atom
N(E_F) = 2.291 states/eV/atom



[5]
# BeCuIr

Crystalline BeCuIr at its relaxed geometry (GGA-PBE, Alexandria via LeMat-Bulk).

Cell and atoms, written as CIF:
```
data_BeCuIr
_chemical_formula_sum 'Be4 Cu4 Ir4'
_symmetry_space_group_name_H-M 'F m m 2'
_symmetry_Int_Tables_number 42
_symmetry_space_group_name_Hall 'F 2 -2'
_cell_length_a 2.7963
_cell_length_b 4.4485
_cell_length_c 11.7201
_cell_angle_alpha 90.00
_cell_angle_beta 90.00
_cell_angle_gamma 90.00
loop_
_atom_site_label
_atom_site_fract_x
_atom_site_fract_y
_atom_site_fract_z
Be1 0.0000 0.0000 0.0000
Cu1 0.0000 0.0000 0.6537
Ir1 0.0000 0.0000 0.3479
```

Properties
relative energy among the computed polymorphs = 161 meV/atom
N(E_F) = 0.570 states/eV/atom
energy of formation from the pure elements = -0.0335 eV/atom



[6]
# Rb3Ca2TcO6

Crystalline Rb3Ca2TcO6 at its relaxed geometry (GGA-PBE, Alexandria via LeMat-Bulk).

Cell and atoms, written as CIF:
```
data_Rb3Ca2TcO6
_chemical_formula_sum 'Rb6 Ca4 Tc2 O12'
_symmetry_space_group_name_H-M 'C 1 2/m 1'
_symmetry_Int_Tables_number 12
_cell_length_a 5.9331
_cell_length_b 10.2551
_cell_length_c 6.7034
_cell_angle_alpha 90.00
_cell_angle_beta 107.13
_cell_angle_gamma 90.00
loop_
_symmetry_equiv_pos_as_xyz
'x,y,z'
'-x,-y,-z'
'-x,y,-z'
'x,-y,z'
'x+1/2,y+1/2,z'
'-x+1/2,-y+1/2,-z'
'-x+1/2,y+1/2,-z'
'x+1/2,-y+1/2,z'
loop_
_atom_site_label
_atom_site_fract_x
_atom_site_fract_y
_atom_site_fract_z
Rb1 0.0000 0.0000 0.0000
Rb2 0.0000 0.3320 0.0000
Ca1 0.0000 0.1662 0.5000
Tc1 0.0000 0.5000 0.5000
O1 0.2021 0.3563 0.6735
O2 0.2305 0.5000 0.3236
```

Properties
energy relative to the elements, uncorrected = -1.892 eV/atom
N(E_F) = 0.685 states/eV/atom



[7]
# RbSrSc2

Crystalline RbSrSc2 at its relaxed geometry (GGA-PBE, Alexandria via LeMat-Bulk).

Cell and atoms, written as CIF:
```
data_RbSrSc2
_chemical_formula_sum 'Rb3 Sr3 Sc6'
_symmetry_space_group_name_H-M 'R -3 m'
_symmetry_Int_Tables_number 166
_symmetry_space_group_name_Hall '-R 3 2"'
_cell_length_a 3.5387
_cell_length_b 3.5387
_cell_length_c 40.9420
_cell_angle_alpha 90.00
_cell_angle_beta 90.00
_cell_angle_gamma 120.00
loop_
_atom_site_label
_atom_site_fract_x
_atom_site_fract_y
_atom_site_fract_z
Rb1 0.0000 0.0000 0.0000
Sr1 0.0000 0.0000 0.5000
Sc1 0.0000 0.0000 0.4191
```

Properties
relative energy among the computed polymorphs = 0 meV/atom
N(E_F) = 1.670 states/eV/atom
energy of formation from the pure elements = 0.7283 eV/atom



[8]
# Te2Pb2Au

Crystalline Te2Pb2Au at its relaxed geometry (GGA-PBE, Alexandria via LeMat-Bulk).

Cell and atoms, written as CIF:
```
data_Te2Pb2Au
_chemical_formula_sum 'Te4 Pb4 Au2'
_symmetry_space_group_name_H-M 'P 4/m b m'
_symmetry_Int_Tables_number 127
_symmetry_space_group_name_Hall '-P 4 2ab'
_cell_length_a 8.3643
_cell_length_b 8.3643
_cell_length_c 4.4228
_cell_angle_alpha 90.00
_cell_angle_beta 90.00
_cell_angle_gamma 90.00
loop_
_atom_site_label
_atom_site_fract_x
_atom_site_fract_y
_atom_site_fract_z
Te1 0.1701 0.3299 0.0000
Pb1 0.1476 0.6476 0.5000
Au1 0.0000 0.0000 0.0000
```

Properties
relative energy among the computed polymorphs = 0 meV/atom
energy relative to the elements, uncorrected = -0.013 eV/atom
N(E_F) = 0.522 states/eV/atom



Total magnetic moment, record by record: 0.000; 0.000; 0.000; 0.736; 0.000; 0.167; 0.257; 0.000 μB/atom